# ZnFeTc, optimized geometry, DFT PBE
# **E above lowest polymorph**: 0.052 eV/atom
# **E**: -6.5920 eV per atom
data_ZnFeTc
_cell_length_a 2.686
_cell_length_b 2.686
_cell_length_c 6.420
_cell_angle_alpha 90.00
_cell_angle_beta 90.00
_cell_angle_gamma 120.00
_symmetry_space_group_name_H-M 'P 1'
_symmetry_Int_Tables_number 1
_symmetry_space_group_name_Hall 'P 1'
loop_
_atom_site_label
_atom_site_fract_x
_atom_site_fract_y
_atom_site_fract_z
Fe1 0.000 0.000 0.008
Tc1 0.667 0.333 0.314
Zn1 0.333 0.667 0.678

# Li4GdTl, optimized geometry, DFT PBE
# **E**: -4.1286 eV per atom
data_Li4GdTl
_cell_length_a 5.554
_cell_length_b 5.554
_cell_length_c 5.554
_cell_angle_alpha 60.00
_cell_angle_beta 60.00
_cell_angle_gamma 60.00
_symmetry_space_group_name_H-M 'P 1'
_symmetry_Int_Tables_number 1
_symmetry_space_group_name_Hall 'P 1'
loop_
_atom_site_label
_atom_site_fract_x
_atom_site_fract_y
_atom_site_fract_z
Tl1 0.000 0.000 0.000
Gd1 0.250 0.250 0.250
Li1 0.626 0.626 0.122
Li2 0.626 0.122 0.626
Li3 0.626 0.626 0.626
Li4 0.122 0.626 0.626

The records above yield total magnetic moment values of 1.284, 6.893 μB per formula unit, respectively.